No. 1
DFT (GGA-PBE) results for a relaxed GaPRu2 crystal.

Distance to the lowest polymorph of the same formula = 85 meV per atom
Magnetic moment = 0.0 μB/f.u.
D(E_F) = 0.93 states/eV/f.u.

Cell: 4.236 4.236 4.236 Å, 60.00 60.00 60.00°
Atoms (fractional coordinates):
Ga1 0.000 0.000 0.000
P1 0.500 0.500 0.500
Ru1 0.250 0.250 0.250
Ru2 0.750 0.750 0.750


No. 2
DFT (GGA-PBE) results for a relaxed ZrCrReMo crystal.

Magnetic moment = 0.0 μB/f.u.
D(E_F) = 3.34 states/eV/f.u.

Cell: 4.482 4.482 4.482 Å, 60.00 60.00 60.00°
Atoms (fractional coordinates):
Zr1 0.000 0.000 0.000
Cr1 0.750 0.750 0.750
Re1 0.250 0.250 0.250
Mo1 0.500 0.500 0.500


No. 3
DFT (GGA-PBE) results for a relaxed RbAlGe crystal.

Magnetic moment = 0.0 μB/f.u.
D(E_F) = 0.64 states/eV/f.u.

Cell: 4.337 6.174 7.962 Å, 100.01 91.02 110.54°
Atoms (fractional coordinates):
Rb1 0.124 0.227 0.328
Rb2 0.876 0.773 0.672
Al1 0.188 0.384 0.856
Al2 0.812 0.616 0.144
Ge1 0.401 0.801 0.050
Ge2 0.599 0.199 0.950


No. 4
DFT (GGA-PBE) results for a relaxed Er12CuRu6 crystal.

Magnetic moment = 0.0 μB/f.u.
D(E_F) = 11.64 states/eV/f.u.

Cell: 8.025 8.025 8.025 Å, 100.16 100.16 100.16°
Atoms (fractional coordinates):
Er1 0.054 0.920 0.672
Er2 0.080 0.328 0.946
Er3 0.178 0.565 0.419
Er4 0.328 0.946 0.080
Er5 0.419 0.178 0.565
Er6 0.435 0.581 0.822
Er7 0.565 0.419 0.178
Er8 0.581 0.822 0.435
Er9 0.672 0.054 0.920
Er10 0.822 0.435 0.581
Er11 0.920 0.672 0.054
Er12 0.946 0.080 0.328
Cu1 0.000 0.000 0.000
Ru1 0.135 0.300 0.618
Ru2 0.300 0.618 0.135
Ru3 0.382 0.865 0.700
Ru4 0.618 0.135 0.300
Ru5 0.700 0.382 0.865
Ru6 0.865 0.700 0.382


Number 1: energy of formation from the pure elements -0.30 eV per atom. Number 2: energy of formation from the pure elements -0.01 eV per atom. Number 3: energy of formation from the pure elements 0.03 eV per atom. Number 4: energy of formation from the pure elements -0.19 eV per atom.